Compound: LiPm2Si4Pd3
Source: Alexandria via LeMat-Bulk
Functional: PBE-GGA
Structure: optimized geometry

Properties
Uncorrected formation energy ... -0.79 eV/atom

Unit cell a=4.205 b=4.205 c=10.107 alpha=90.00 beta=90.00 gamma=90.00
Sites, in units of the cell vectors:
Pd 0.500 0.000 0.879
Pd 0.000 0.500 0.121
Pd 0.000 0.000 0.500
Pm 0.000 0.500 0.751
Pm 0.500 0.000 0.249
Li 0.500 0.500 0.500
Si 0.000 0.000 0.000
Si 0.500 0.500 0.000
Si 0.500 0.000 0.637
Si 0.000 0.500 0.363



Compound: LiPm2Sn3Pd4
Source: Alexandria via LeMat-Bulk
Functional: PBE-GGA
Structure: optimized geometry

Properties
ΔH_f (0 K) ... -732 meV per atom

Unit cell a=4.448 b=4.448 c=10.972 alpha=90.00 beta=90.00 gamma=90.00
Sites, in units of the cell vectors:
Li 0.500 0.500 0.500
Sn 0.000 0.000 0.500
Sn 0.500 0.000 0.866
Sn 0.000 0.500 0.134
Pd 0.500 0.500 0.000
Pd 0.000 0.500 0.370
Pd 0.000 0.000 0.000
Pd 0.500 0.000 0.630
Pm 0.500 0.000 0.245
Pm 0.000 0.500 0.755



no.,energy (eV per cell)
1,-56.62
2,-51.52